No. 1
A relaxed structure of La2AlTe. Source: Alexandria, functional PBE.

Its relative energy among the computed polymorphs is 0.64 eV per formula unit. The value obtained for the density of states at the Fermi level is 0.909 states/eV/atom. The calculation puts the uncorrected formation energy at -0.8124 eV per atom.

It has space group P4/mmm (No. 123), with a = 3.788 Å, b = 3.788 Å, c = 8.269 Å, α = 90.00°, β = 90.00° and γ = 90.00°. The inequivalent atoms are La at (0.000, 0.000, 0.248), Al at (0.500, 0.500, 0.000) and Te at (0.500, 0.500, 0.500).



No. 2
A relaxed structure of BaTc2WAu. Source: Alexandria, functional PBE.

The value obtained for the density of states at the Fermi level is 1.559 states/eV/atom. For the total DFT energy (no corrections), the calculation gives -5.84 eV per atom.

It has space group P4/mmm (No. 123), with a = 5.183 Å, b = 5.183 Å, c = 4.980 Å, α = 90.00°, β = 90.00° and γ = 90.00°. The inequivalent atoms are Ba at (0.000, 0.000, 0.000), Tc at (0.000, 0.500, 0.500), W at (0.500, 0.500, 0.000) and Au at (0.500, 0.500, 0.500).



No. 3
A relaxed structure of Zr2Mn12GaSn11. Source: Alexandria, functional PBE.

The value obtained for the density of states at the Fermi level is 0.590 states/eV/atom. For the total DFT energy (no corrections), the calculation gives -6.80 eV per atom.

It has space group P-6m2 (No. 187), with a = 5.3719 Å, b = 5.3719 Å, c = 17.8254 Å, α = 90.00°, β = 90.00° and γ = 120.00°. The inequivalent atoms are Zr at (0.0000, 0.0000, 0.0000), Zr at (0.0000, 0.0000, 0.5000), Mn at (0.0082, 0.5041, 0.1202), Mn at (0.5004, 0.0007, 0.3752), Ga at (0.3333, 0.6667, 0.0000), Sn at (0.0000, 0.0000, 0.1634), Sn at (0.0000, 0.0000, 0.3349), Sn at (0.3333, 0.6667, 0.2484), Sn at (0.3333, 0.6667, 0.5000), Sn at (0.6667, 0.3333, 0.0000), Sn at (0.6667, 0.3333, 0.2469) and Sn at (0.6667, 0.3333, 0.5000).



No. 4
A relaxed structure of LaThAlCu. Source: Alexandria, functional PBE.

The value obtained for the density of states at the Fermi level is 1.112 states/eV/atom. For the total DFT energy (no corrections), the calculation gives -5.18 eV per atom.

It has space group F-43m (No. 216), with a = 7.392 Å, b = 7.392 Å, c = 7.392 Å, α = 90.00°, β = 90.00° and γ = 90.00°. The inequivalent atoms are La at (0.000, 0.000, 0.000), Th at (0.000, 0.000, 0.500), Al at (0.250, 0.250, 0.250) and Cu at (0.250, 0.250, 0.750).